# 1
DFT (PBE) results for a geometry-optimized SrSmTh structure.

Properties
E_tot   -4.4325 eV per atom
Crystal system   tetragonal

```
data_SrSmTh
_cell_length_a 3.656
_cell_length_b 3.656
_cell_length_c 17.201
_cell_angle_alpha 90.00
_cell_angle_beta 90.00
_cell_angle_gamma 90.00
_space_group_name_H-M_alt 'I 4 m m'
_space_group_IT_number 107
_space_group_name_Hall 'I 4 -2'
loop_
_atom_site_label
_atom_site_type_symbol
_atom_site_fract_x
_atom_site_fract_y
_atom_site_fract_z
Sr1 Sr 0.000 0.000 0.000
Sm1 Sm 0.000 0.000 0.315
Th1 Th 0.000 0.000 0.677
```

---

# 2
DFT (PBE) results for a geometry-optimized Ca2Hg3OsO6 structure.

Properties
E_tot   -5.1836 eV per atom
Crystal system   monoclinic
ΔE_f (raw)   -1.360 eV/atom

```
data_Ca2Hg3OsO6
_cell_length_a 5.742
_cell_length_b 9.918
_cell_length_c 7.308
_cell_angle_alpha 90.00
_cell_angle_beta 103.78
_cell_angle_gamma 90.00
_space_group_name_H-M_alt 'C 1 2/m 1'
_space_group_IT_number 12
loop_
_space_group_symop_operation_xyz
'x,y,z'
'-x,-y,-z'
'-x,y,-z'
'x,-y,z'
'x+1/2,y+1/2,z'
'-x+1/2,-y+1/2,-z'
'-x+1/2,y+1/2,-z'
'x+1/2,-y+1/2,z'
loop_
_atom_site_label
_atom_site_type_symbol
_atom_site_fract_x
_atom_site_fract_y
_atom_site_fract_z
Ca1 Ca 0.000 0.167 0.000
Hg1 Hg 0.000 0.000 0.500
Hg2 Hg 0.000 0.338 0.500
Os1 Os 0.000 0.500 0.000
O1 O 0.184 0.362 0.151
O2 O 0.230 0.500 0.848
```

---

# 3
DFT (PBE) results for a geometry-optimized NpPa3S6 structure.

Properties
E_tot   -8.1352 eV per atom
Crystal system   monoclinic
ΔE_f (raw)   -1.516 eV/atom

```
data_NpPa3S6
_cell_length_a 10.829
_cell_length_b 3.898
_cell_length_c 11.244
_cell_angle_alpha 90.00
_cell_angle_beta 106.46
_cell_angle_gamma 90.00
_space_group_name_H-M_alt 'P 1 21/m 1'
_space_group_IT_number 11
loop_
_space_group_symop_operation_xyz
'x,y,z'
'-x,-y,-z'
'-x,y+1/2,-z'
'x,-y+1/2,z'
loop_
_atom_site_label
_atom_site_type_symbol
_atom_site_fract_x
_atom_site_fract_y
_atom_site_fract_z
Np1 Np 0.046 0.250 0.193
Pa1 Pa 0.146 0.250 0.570
Pa2 Pa 0.313 0.750 0.996
Pa3 Pa 0.418 0.250 0.337
S1 S 0.089 0.750 0.391
S2 S 0.117 0.250 0.958
S3 S 0.195 0.750 0.745
S4 S 0.249 0.750 0.218
S5 S 0.401 0.250 0.578
S6 S 0.485 0.250 0.121
```

---

# 4
DFT (PBE) results for a geometry-optimized MgHgSb2 structure.

Properties
E_tot   -2.5693 eV per atom
Crystal system   orthorhombic
ΔE_f (raw)   -0.034 eV/atom

```
data_MgHgSb2
_cell_length_a 4.340
_cell_length_b 4.700
_cell_length_c 10.771
_cell_angle_alpha 90.00
_cell_angle_beta 90.00
_cell_angle_gamma 90.00
_space_group_name_H-M_alt 'C m m m'
_space_group_IT_number 65
_space_group_name_Hall '-C 2 2'
loop_
_atom_site_label
_atom_site_type_symbol
_atom_site_fract_x
_atom_site_fract_y
_atom_site_fract_z
Mg1 Mg 0.000 0.000 0.000
Hg1 Hg 0.000 0.000 0.500
Sb1 Sb 0.000 0.500 0.204
```

---

# 5
DFT (PBE) results for a geometry-optimized Na4LiNp3O8 structure.

Properties
E_tot   -7.6566 eV per atom
Crystal system   trigonal
ΔE_f (raw)   -2.302 eV/atom

```
data_Na4LiNp3O8
_cell_length_a 6.8391
_cell_length_b 6.8391
_cell_length_c 16.7813
_cell_angle_alpha 90.00
_cell_angle_beta 90.00
_cell_angle_gamma 120.00
_space_group_name_H-M_alt 'R -3 m'
_space_group_IT_number 166
_space_group_name_Hall '-R 3 2"'
loop_
_atom_site_label
_atom_site_type_symbol
_atom_site_fract_x
_atom_site_fract_y
_atom_site_fract_z
Na1 Na 0.0000 0.0000 0.0000
Na2 Na 0.0000 0.5000 0.0000
Li1 Li 0.0000 0.0000 0.5000
Np1 Np 0.0000 0.5000 0.5000
O1 O 0.0000 0.0000 0.2418
O2 O 0.0177 0.5089 0.7629
```

---

# 6
DFT (PBE) results for a geometry-optimized BeBRhPb2 structure.

Properties
E_tot   -4.2233 eV per atom
Crystal system   tetragonal

```
data_BeBRhPb2
_cell_length_a 5.373
_cell_length_b 5.373
_cell_length_c 3.964
_cell_angle_alpha 90.00
_cell_angle_beta 90.00
_cell_angle_gamma 90.00
_space_group_name_H-M_alt 'P 4/m m m'
_space_group_IT_number 123
_space_group_name_Hall '-P 4 2'
loop_
_atom_site_label
_atom_site_type_symbol
_atom_site_fract_x
_atom_site_fract_y
_atom_site_fract_z
Be1 Be 0.000 0.000 0.000
B1 B 0.500 0.500 0.000
Rh1 Rh 0.500 0.500 0.500
Pb1 Pb 0.000 0.500 0.500
```

---

> What is the formula in the fifth record?

Na4LiNp3O8